No. 1
The following is a DFT calculation (meta-GGA SCAN) of a PBEsol-optimized structure of Tm5BiPt2.

Output
- Formation energy: -880 kJ/mol of formula units

Geometry as POSCAR:
```
Tm5BiPt2
1.0
-3.804 3.804 6.697
3.804 -3.804 6.697
3.804 3.804 -6.697
Tm Bi Pt
10 2 4
direct
0.000 0.000 0.000
0.020 0.520 0.812
0.208 0.020 0.500
0.292 0.792 0.812
0.480 0.292 0.500
0.500 0.500 0.000
0.520 0.708 0.500
0.708 0.208 0.188
0.792 0.980 0.500
0.980 0.480 0.188
0.250 0.250 0.000
0.750 0.750 0.000
0.139 0.361 0.500
0.361 0.861 0.223
0.639 0.139 0.777
0.861 0.639 0.500
```


No. 2
The following is a DFT calculation (meta-GGA SCAN) of a PBEsol-optimized structure of P3Cl.

Output
- Energy relative to the elements, uncorrected: 1.73 eV/f.u.
- Distance to the lowest polymorph of the same formula: 0.0717 eV/atom

Geometry as POSCAR:
```
P3Cl
1.0
3.360 0.000 0.000
-1.680 2.910 0.000
0.000 0.000 6.934
P Cl
3 1
direct
0.000 0.000 0.000
0.333 0.667 0.199
0.333 0.667 0.801
0.000 0.000 0.500
```


No. 3
The following is a DFT calculation (meta-GGA SCAN) of a PBEsol-optimized structure of BaMg2Si2.

Output
- Energy relative to the elements, uncorrected: -1.84 eV/f.u.

Geometry as POSCAR:
```
BaMg2Si2
1.0
-2.307 2.307 5.486
2.307 -2.307 5.486
2.307 2.307 -5.486
Ba Mg Si
1 2 2
direct
0.000 0.000 0.000
0.250 0.750 0.500
0.750 0.250 0.500
0.389 0.389 0.000
0.611 0.611 0.000
```


No. 4
The following is a DFT calculation (meta-GGA SCAN) of a PBEsol-optimized structure of BaZrTa.

Output
- Formation energy: 427 kJ/mol of formula units

Geometry as POSCAR:
```
BaZrTa
1.0
0.000 3.489 3.489
3.489 0.000 3.489
3.489 3.489 0.000
Ba Zr Ta
1 1 1
direct
0.000 0.000 0.000
0.500 0.500 0.500
0.750 0.750 0.750
```


No. 5
The following is a DFT calculation (meta-GGA SCAN) of a PBEsol-optimized structure of TlTeI2O.

Output
- Energy relative to the elements, uncorrected: -2.06 eV/f.u.
- Distance to the lowest polymorph of the same formula: 0.0000 eV/atom

Geometry as POSCAR:
```
TlTeI2O
1.0
6.180 0.000 0.000
0.000 6.180 0.000
0.000 0.000 4.080
Tl Te I O
1 1 2 1
direct
0.000 0.000 0.000
0.500 0.500 0.500
0.000 0.500 0.500
0.500 0.000 0.500
0.500 0.500 0.000
```


No. 6
The following is a DFT calculation (meta-GGA SCAN) of a PBEsol-optimized structure of LiTaRe2.

Output
- Formation energy: 85 kJ/mol of formula units
- Distance to the lowest polymorph of the same formula: 0.0000 eV/atom

Geometry as POSCAR:
```
LiTaRe2
1.0
0.000 3.078 3.078
3.078 0.000 3.078
3.078 3.078 0.000
Li Ta Re
1 1 2
direct
0.000 0.000 0.000
0.500 0.500 0.500
0.250 0.250 0.250
0.750 0.750 0.750
```


No. 7
The following is a DFT calculation (meta-GGA SCAN) of a PBEsol-optimized structure of Ni3SnP.

Output
- Formation energy: 25 kJ/mol of formula units
- Distance to the lowest polymorph of the same formula: 0.0000 eV/atom

Geometry as POSCAR:
```
Ni3SnP
1.0
4.184 0.000 0.000
0.000 4.184 0.000
0.000 0.000 4.184
Ni Sn P
3 1 1
direct
0.000 0.000 0.500
0.000 0.500 0.000
0.500 0.000 0.000
0.500 0.500 0.500
0.000 0.000 0.000
```


No. 8
The following is a DFT calculation (meta-GGA SCAN) of a PBEsol-optimized structure of MgMo4Os.

Output
- Formation energy: 204 kJ/mol of formula units

Geometry as POSCAR:
```
MgMo4Os
1.0
0.000 3.629 3.629
3.629 0.000 3.629
3.629 3.629 0.000
Mg Mo Os
1 4 1
direct
0.000 0.000 0.000
0.122 0.626 0.626
0.626 0.122 0.626
0.626 0.626 0.122
0.626 0.626 0.626
0.250 0.250 0.250
```